Record 1
Compound: Ag2PdF
Source: Alexandria via LeMat-Bulk
Functional: PBE
Structure: relaxed

Computed properties:
Uncorrected energy (Ry per atom): -0.248
SG: I-42d
Spin magnetization (μB/f.u.): 0.0

The structure in POSCAR format:
```
Ag2PdF
1.0
-3.5146 3.5146 2.7146
3.5146 -3.5146 2.7146
3.5146 3.5146 -2.7146
Ag Pd F
4 2 2
Direct
0.0809 0.6250 0.9559
0.3750 0.3309 0.4559
0.6691 0.1250 0.0441
0.8750 0.9191 0.5441
0.2500 0.7500 0.5000
0.5000 0.5000 0.0000
0.0000 0.0000 0.0000
0.7500 0.2500 0.5000
```

Record 2
Compound: AgPdF3
Source: Alexandria via LeMat-Bulk
Functional: PBE
Structure: relaxed

Computed properties:
Uncorrected energy (Ry per atom): -0.244
Distance to the lowest polymorph of the same formula (eV per atom): 0.5226
SG: Pm-3m
Spin magnetization (μB/f.u.): 1.0

The structure in POSCAR format:
```
AgPdF3
1.0
4.3189 0.0000 0.0000
0.0000 4.3189 0.0000
0.0000 0.0000 4.3189
Ag Pd F
1 1 3
Direct
0.0000 0.0000 0.0000
0.5000 0.5000 0.5000
0.0000 0.0000 0.5000
0.0000 0.5000 0.0000
0.5000 0.0000 0.0000
```

The lowest spin magnetization belongs to which entry?
Ag2PdF

Number 1 is which compound?
Ag2PdF